Density functional theory data (GGA-PBE) for an optimized crystal structure of KTlHgTe.

As for the mass density: 6.872 g cm⁻³. The value obtained for the size of the total moment is 0.00 μB/cell. The value obtained for the total DFT energy (no corrections) is -2.219 eV per atom. Its formation energy without anion corrections is -0.492 eV/atom. As for the space-group type: F-43m.

Unit cell a=5.803 b=5.803 c=5.803 alpha=60.00 beta=60.00 gamma=60.00
Sites, in units of the cell vectors:
Hg 0.750 0.750 0.750
Te 0.250 0.250 0.250
Tl 0.500 0.500 0.500
K 0.000 0.000 0.000

---

Density functional theory data (GGA-PBE) for an optimized crystal structure of K2TmHgTe4.

As for the mass density: 5.669 g cm⁻³. The value obtained for the size of the total moment is 0.00 μB/cell. The density of states at the Fermi level comes out at 10.66 states/eV/cell. The value obtained for the total DFT energy (no corrections) is -3.206 eV per atom. Its formation energy without anion corrections is -0.764 eV/atom. As for the space-group type: I-42m.

Unit cell a=7.633 b=7.165 c=7.165 alpha=73.51 beta=57.81 gamma=57.81
Sites, in units of the cell vectors:
Tm 0.000 0.000 0.000
Te 0.072 0.367 0.000
Te 0.928 0.000 0.633
Te 0.439 0.633 0.000
Te 0.561 0.000 0.367
K 0.000 0.500 0.500
K 0.500 0.500 0.500
Hg 0.500 0.000 0.000

---

Density functional theory data (GGA-PBE) for an optimized crystal structure of KTmHgTe3.

As for the mass density: 6.110 g cm⁻³. The value obtained for the size of the total moment is 0.00 μB/cell. The value obtained for the total DFT energy (no corrections) is -3.475 eV per atom. Its formation energy without anion corrections is -0.926 eV/atom. As for the space-group type: P2_1/m.

Unit cell a=4.474 b=9.343 c=10.800 alpha=107.65 beta=90.00 gamma=90.00
Sites, in units of the cell vectors:
Tm 0.750 0.328 0.861
Tm 0.250 0.672 0.139
Te 0.250 0.751 0.452
Te 0.750 0.899 0.126
Te 0.750 0.455 0.154
Te 0.250 0.545 0.846
Te 0.250 0.101 0.874
Te 0.750 0.249 0.548
K 0.750 0.784 0.747
K 0.250 0.216 0.253
Hg 0.250 0.085 0.610
Hg 0.750 0.915 0.390

---

Density functional theory data (GGA-PBE) for an optimized crystal structure of KUHgTe3.

As for the mass density: 6.537 g cm⁻³. The value obtained for the size of the total moment is 5.64 μB/cell. The density of states at the Fermi level comes out at 14.52 states/eV/cell. The value obtained for the total DFT energy (no corrections) is -4.271 eV per atom. Its formation energy without anion corrections is -0.586 eV/atom. As for the space-group type: P2_1/m.

Unit cell a=4.575 b=9.170 c=11.030 alpha=109.14 beta=90.00 gamma=90.00
Last column: magnetic moment on the atom in μB.
Sites, in units of the cell vectors:
Hg 0.750 0.906 0.380  0.02
Hg 0.250 0.094 0.620  0.02
K 0.250 0.235 0.264  0.00
K 0.750 0.765 0.736  0.00
Te 0.750 0.245 0.546  0.00
Te 0.750 0.915 0.120  -0.03
Te 0.250 0.542 0.851  -0.06
Te 0.250 0.755 0.454  0.00
Te 0.250 0.085 0.880  -0.03
Te 0.750 0.458 0.149  -0.06
U 0.250 0.689 0.148  2.66
U 0.750 0.311 0.852  2.66

---

Density functional theory data (GGA-PBE) for an optimized crystal structure of K2VHgTe4.

As for the mass density: 4.607 g cm⁻³. The value obtained for the size of the total moment is 2.00 μB/cell. The density of states at the Fermi level comes out at 7.56 states/eV/cell. The value obtained for the total DFT energy (no corrections) is -3.536 eV per atom. Its formation energy without anion corrections is -0.513 eV/atom. As for the space-group type: Fddd.

Unit cell a=6.506 b=7.899 c=13.334 alpha=84.23 beta=75.88 gamma=65.68
Last column: magnetic moment on the atom in μB.
Sites, in units of the cell vectors:
K 0.186 0.000 0.628  0.00
K 0.814 0.000 0.372  0.00
K 0.936 0.500 0.128  0.00
K 0.564 0.500 0.872  0.00
Te 0.865 0.710 0.621  -0.07
Te 0.237 0.210 0.879  -0.07
Te 0.325 0.790 0.121  -0.07
Te 0.553 0.210 0.121  -0.07
Te 0.513 0.290 0.621  -0.07
Te 0.197 0.290 0.379  -0.07
Te 0.425 0.710 0.379  -0.07
Te 0.885 0.790 0.879  -0.07
Hg 0.750 0.500 0.500  0.00
Hg 0.000 0.000 0.000  0.00
V 0.250 0.500 0.500  1.27
V 0.500 0.000 0.000  1.27

---

Density functional theory data (GGA-PBE) for an optimized crystal structure of K2YHg2Te4.

As for the mass density: 5.731 g cm⁻³. The value obtained for the size of the total moment is 0.00 μB/cell. The density of states at the Fermi level comes out at 4.11 states/eV/cell. The value obtained for the total DFT energy (no corrections) is -3.213 eV per atom. Its formation energy without anion corrections is -0.787 eV/atom. As for the space-group type: C2/m.

Unit cell a=4.475 b=8.807 c=8.993 alpha=113.60 beta=104.41 gamma=90.00
Sites, in units of the cell vectors:
K 0.128 0.581 0.256
K 0.872 0.419 0.744
Te 0.484 0.235 0.969
Te 0.809 0.765 0.619
Te 0.191 0.235 0.381
Te 0.516 0.765 0.031
Hg 0.689 0.013 0.378
Hg 0.311 0.987 0.622
Y 0.000 0.000 0.000

---

Density functional theory data (GGA-PBE) for an optimized crystal structure of KY2HgTe4.

As for the mass density: 5.566 g cm⁻³. The value obtained for the size of the total moment is 0.00 μB/cell. The density of states at the Fermi level comes out at 9.45 states/eV/cell. The value obtained for the total DFT energy (no corrections) is -4.363 eV per atom. Its formation energy without anion corrections is -1.001 eV/atom. As for the space-group type: Cmcm.

Unit cell a=4.440 b=7.883 c=16.488 alpha=90.00 beta=90.00 gamma=106.35
Sites, in units of the cell vectors:
Te 0.265 0.529 0.094
Te 0.461 0.922 0.750
Te 0.265 0.529 0.406
Te 0.735 0.471 0.906
Te 0.539 0.078 0.250
Te 0.735 0.471 0.594
Te 0.000 0.000 0.000
Te 0.000 0.000 0.500
Hg 0.830 0.660 0.750
Hg 0.170 0.340 0.250
Y 0.377 0.754 0.928
Y 0.623 0.246 0.428
Y 0.377 0.754 0.572
Y 0.623 0.246 0.072
K 0.140 0.279 0.750
K 0.860 0.721 0.250

---

Density functional theory data (GGA-PBE) for an optimized crystal structure of KYHgTe3.

As for the mass density: 5.400 g cm⁻³. The value obtained for the size of the total moment is 0.00 μB/cell. The value obtained for the total DFT energy (no corrections) is -3.837 eV per atom. Its formation energy without anion corrections is -0.955 eV/atom. As for the space-group type: P2_1/m.

Unit cell a=4.508 b=9.388 c=10.835 alpha=107.42 beta=90.00 gamma=90.00
Sites, in units of the cell vectors:
Te 0.750 0.903 0.127
Te 0.750 0.245 0.545
Te 0.750 0.455 0.155
Te 0.250 0.097 0.873
Te 0.250 0.755 0.455
Te 0.250 0.545 0.845
Y 0.250 0.674 0.139
Y 0.750 0.326 0.861
K 0.750 0.784 0.749
K 0.250 0.216 0.251
Hg 0.250 0.087 0.612
Hg 0.750 0.913 0.388

---

Density functional theory data (GGA-PBE) for an optimized crystal structure of KThHg2.

As for the mass density: 8.825 g cm⁻³. The value obtained for the size of the total moment is 0.00 μB/cell. The density of states at the Fermi level comes out at 4.80 states/eV/cell. The value obtained for the formation energy from the elements is -0.148 eV per atom. The value obtained for the total DFT energy (no corrections) is -2.429 eV per atom. As for the space-group type: P4/mmm. The calculation puts the energy relative to the lowest polymorph listed for this composition at 0 meV/atom.

Unit cell a=3.836 b=3.836 c=8.595 alpha=90.00 beta=90.00 gamma=90.00
Sites, in units of the cell vectors:
K 0.500 0.500 0.500
Hg 0.000 0.000 0.786
Hg 0.000 0.000 0.214
Th 0.500 0.500 0.000

---

Density functional theory data (GGA-PBE) for an optimized crystal structure of KThHg2.

As for the mass density: 8.671 g cm⁻³. The value obtained for the size of the total moment is 0.00 μB/cell. The density of states at the Fermi level comes out at 3.88 states/eV/cell. The value obtained for the formation energy from the elements is -0.028 eV per atom. The value obtained for the total DFT energy (no corrections) is -2.308 eV per atom. As for the space-group type: R-3m. The calculation puts the energy relative to the lowest polymorph listed for this composition at 120 meV/atom.

Unit cell a=3.744 b=3.744 c=10.821 alpha=80.04 beta=80.04 gamma=60.00
Sites, in units of the cell vectors:
K 0.500 0.500 0.500
Hg 0.744 0.744 0.767
Hg 0.256 0.256 0.233
Th 0.000 0.000 0.000

---

Density functional theory data (GGA-PBE) for an optimized crystal structure of KThHg6.

As for the mass density: 11.458 g cm⁻³. The value obtained for the size of the total moment is 0.00 μB/cell. The density of states at the Fermi level comes out at 3.81 states/eV/cell. The value obtained for the formation energy from the elements is -0.171 eV per atom. The value obtained for the total DFT energy (no corrections) is -1.462 eV per atom. As for the space-group type: Pmm2.

Unit cell a=5.316 b=5.611 c=7.165 alpha=90.00 beta=90.00 gamma=90.00
Sites, in units of the cell vectors:
Hg 0.000 0.690 0.500
Hg 0.000 0.186 0.261
Hg 0.000 0.186 0.739
Hg 0.500 0.823 0.736
Hg 0.500 0.278 0.000
Hg 0.500 0.823 0.264
Th 0.500 0.335 0.500
K 0.000 0.680 0.000

---

Density functional theory data (GGA-PBE) for an optimized crystal structure of KTi3Hg.

As for the mass density: 6.642 g cm⁻³. The value obtained for the size of the total moment is 2.72 μB/cell. The density of states at the Fermi level comes out at 4.53 states/eV/cell. The value obtained for the formation energy from the elements is 1.839 eV per atom. The value obtained for the total DFT energy (no corrections) is -3.178 eV per atom. As for the space-group type: Pm-3m. The calculation puts the energy relative to the lowest polymorph listed for this composition at 662 meV/atom.

Unit cell a=4.576 b=4.576 c=4.576 alpha=90.00 beta=90.00 gamma=90.00
Last column: magnetic moment on the atom in μB.
Sites, in units of the cell vectors:
Ti 0.000 0.000 0.500  0.76
Ti 0.000 0.500 0.000  0.69
Ti 0.500 0.000 0.000  0.72
Hg 0.500 0.500 0.500  0.00
K 0.000 0.000 0.000  0.19

---

Which formula does entry 12 have? KTi3Hg